A plane-wave DFT calculation with PBE was carried out for a relaxed structure of TaCdRe2.

Cell lengths 5.417, 5.417, 4.575 Å; angles 65.04, 65.04, 34.18 degrees
Atoms (fractional coordinates):
Re1 0.017 0.017 0.983
Re2 0.744 0.744 0.756
Cd1 0.255 0.255 0.245
Ta1 0.484 0.484 0.517

Computed properties:
DOS(E_F): 1.0090 states/eV per atom
Symmetry: Imm2
DFT formation energy: 32.5 kJ/mol of atoms